[1]
Material: TaPd6Au5
Method: DFT, PBE-GGA
State: optimized geometry

Output
energy of formation from the pure elements: -22.5 kJ per mole of atoms
crystal system: orthorhombic
V: 198 Å³/f.u.

Lattice parameters (Å, degrees): 6.4822 6.4822 7.8892 90.00 90.00 143.25
Closest atoms and distances in Å follow each position.
Element x y z (fractional)
Ta 0.0000 0.0000 0.0000  8 Pd 2.77, 4 Au 2.89
Pd 0.1620 0.8380 0.2438  1 Ta 2.77, 7 Au 2.81-2.93, 4 Pd 2.86-2.98
Pd 0.1620 0.8380 0.7562  1 Ta 2.77, 7 Au 2.81-2.93, 4 Pd 2.86-2.98
Pd 0.5000 0.5000 0.2364  6 Au 2.76-2.92, 2 Ta 2.77, 4 Pd 2.86
Pd 0.5000 0.5000 0.7636  6 Au 2.76-2.92, 2 Ta 2.77, 4 Pd 2.86
Pd 0.8380 0.1620 0.2438  1 Ta 2.77, 7 Au 2.81-2.93, 4 Pd 2.86-2.98
Pd 0.8380 0.1620 0.7562  1 Ta 2.77, 7 Au 2.81-2.93, 4 Pd 2.86-2.98
Au 0.0000 0.0000 0.5000  8 Pd 2.84-2.92, 4 Au 2.89
Au 0.3344 0.6656 0.0000  8 Pd 2.76-2.86, 2 Ta 2.89, 2 Au 2.91
Au 0.3341 0.6659 0.5000  8 Pd 2.87-2.93, 4 Au 2.89-2.91
Au 0.6656 0.3344 0.0000  8 Pd 2.76-2.86, 2 Ta 2.89, 2 Au 2.91
Au 0.6659 0.3341 0.5000  8 Pd 2.87-2.93, 4 Au 2.89-2.91


[2]
Material: TaPd12Au3
Method: DFT, PBE-GGA
State: optimized geometry

Output
energy of formation from the pure elements: -18.1 kJ per mole of atoms
crystal system: tetragonal
V: 255 Å³/f.u.

Lattice parameters (Å, degrees): 3.9908 3.9908 16.0102 90.00 90.00 90.00
Closest atoms and distances in Å follow each position.
Element x y z (fractional)
Ta 0.0000 0.0000 0.0000  12 Pd 2.75-2.82
Pd 0.0000 0.5000 0.1183  2 Ta 2.75, 8 Pd 2.75-2.87, 2 Au 2.89
Pd 0.0000 0.5000 0.3746  8 Pd 2.82-2.85, 4 Au 2.83-2.84
Pd 0.0000 0.5000 0.6254  8 Pd 2.82-2.85, 4 Au 2.83-2.84
Pd 0.0000 0.5000 0.8817  2 Ta 2.75, 8 Pd 2.75-2.87, 2 Au 2.89
Pd 0.5000 0.0000 0.1183  2 Ta 2.75, 8 Pd 2.75-2.87, 2 Au 2.89
Pd 0.5000 0.0000 0.3746  8 Pd 2.82-2.85, 4 Au 2.83-2.84
Pd 0.5000 0.0000 0.6254  8 Pd 2.82-2.85, 4 Au 2.83-2.84
Pd 0.5000 0.0000 0.8817  2 Ta 2.75, 8 Pd 2.75-2.87, 2 Au 2.89
Pd 0.5000 0.5000 0.0000  8 Pd 2.75, 4 Ta 2.82
Pd 0.5000 0.5000 0.2472  4 Au 2.82, 8 Pd 2.85-2.87
Pd 0.5000 0.5000 0.5000  4 Au 2.82, 8 Pd 2.83
Pd 0.5000 0.5000 0.7528  4 Au 2.82, 8 Pd 2.85-2.87
Au 0.0000 0.0000 0.2488  12 Pd 2.82-2.89
Au 0.0000 0.0000 0.5000  12 Pd 2.82-2.83
Au 0.0000 0.0000 0.7512  12 Pd 2.82-2.89


[3]
Material: TaPd3Au3
Method: DFT, PBE-GGA
State: optimized geometry

Output
energy of formation from the pure elements: -11.9 kJ per mole of atoms
crystal system: orthorhombic
V: 126 Å³/f.u.

Lattice parameters (Å, degrees): 5.6614 5.6614 7.9148 90.00 90.00 94.38
Closest atoms and distances in Å follow each position.
Element x y z (fractional)
Ta 0.2174 0.7826 0.0000  6 Pd 2.61-2.70, 2 Au 2.75
Ta 0.7826 0.2174 0.0000  6 Pd 2.61-2.70, 2 Au 2.75
Pd 0.0000 0.0000 0.2377  2 Ta 2.61, 4 Pd 2.83, 2 Au 2.84
Pd 0.0000 0.0000 0.7623  2 Ta 2.61, 4 Pd 2.83, 2 Au 2.84
Pd 0.0000 0.5000 0.2366  2 Ta 2.70, 2 Pd 2.83, 6 Au 2.84-2.94
Pd 0.0000 0.5000 0.7634  2 Ta 2.70, 2 Pd 2.83, 6 Au 2.84-2.94
Pd 0.5000 0.0000 0.2366  2 Ta 2.70, 2 Pd 2.83, 6 Au 2.84-2.94
Pd 0.5000 0.0000 0.7634  2 Ta 2.70, 2 Pd 2.83, 6 Au 2.84-2.94
Au 0.2526 0.2526 0.5000  4 Au 2.77-2.89, 6 Pd 2.84-2.94
Au 0.2573 0.7427 0.5000  4 Au 2.77-2.89, 6 Pd 2.84-2.98
Au 0.3127 0.3127 0.0000  4 Ta 2.75-3.01, 6 Pd 2.84-3.05, 1 Au 2.88
Au 0.6873 0.6873 0.0000  4 Ta 2.75-3.01, 6 Pd 2.84-3.05, 1 Au 2.88
Au 0.7427 0.2573 0.5000  4 Au 2.77-2.89, 6 Pd 2.84-2.98
Au 0.7474 0.7474 0.5000  4 Au 2.77-2.89, 6 Pd 2.84-2.94


[4]
Material: TaPdAu2
Method: DFT, PBE-GGA
State: optimized geometry

Output
energy of formation from the pure elements: 13.1 kJ per mole of atoms
crystal system: orthorhombic
energy above the most stable polymorph in this dataset: 284 meV/atom
V: 71 Å³/f.u.

Lattice parameters (Å, degrees): 5.3292 9.4012 2.8448 90.00 90.00 90.00
Closest atoms and distances in Å follow each position.
Element x y z (fractional)
Ta 0.0000 0.0000 0.0000  2 Pd 2.66, 2 Ta 2.84, 6 Au 2.87-2.91
Ta 0.5000 0.5000 0.5000  2 Pd 2.66, 2 Ta 2.84, 6 Au 2.87-2.91
Pd 0.0000 0.5000 0.5000  2 Ta 2.66, 2 Pd 2.84, 6 Au 2.86-2.92
Pd 0.5000 0.0000 0.0000  2 Ta 2.66, 2 Pd 2.84, 6 Au 2.86-2.92
Au 0.2398 0.2281 0.5000  6 Au 2.84-3.05, 3 Pd 2.86-2.92, 3 Ta 2.87-2.91
Au 0.2602 0.7281 0.0000  6 Au 2.84-3.05, 3 Pd 2.86-2.92, 3 Ta 2.87-2.91
Au 0.7398 0.2719 0.0000  6 Au 2.84-3.05, 3 Pd 2.86-2.92, 3 Ta 2.87-2.91
Au 0.7602 0.7719 0.5000  6 Au 2.84-3.05, 3 Pd 2.86-2.92, 3 Ta 2.87-2.91


[5]
Material: TaPdAu2
Method: DFT, PBE-GGA
State: optimized geometry

Output
energy of formation from the pure elements: -4.8 kJ per mole of atoms
crystal system: trigonal
energy above the most stable polymorph in this dataset: 99 meV/atom
V: 69 Å³/f.u.

Lattice parameters (Å, degrees): 2.9560 2.9560 27.5301 90.00 90.00 120.00
Closest atoms and distances in Å follow each position.
Element x y z (fractional)
Ta 0.0000 0.0000 0.0000  6 Au 2.86, 6 Ta 2.96
Ta 0.3333 0.6667 0.6667  6 Au 2.86, 6 Ta 2.96
Ta 0.6667 0.3333 0.3333  6 Au 2.86, 6 Ta 2.96
Pd 0.0000 0.0000 0.8332  6 Au 2.86-2.87, 6 Pd 2.96
Pd 0.3333 0.6667 0.4999  6 Au 2.86-2.87, 6 Pd 2.96
Pd 0.6667 0.3333 0.1666  6 Au 2.86-2.87, 6 Pd 2.96
Au 0.0000 0.0000 0.2502  3 Ta 2.86, 3 Pd 2.87, 6 Au 2.96
Au 0.0000 0.0000 0.4165  3 Ta 2.86, 3 Pd 2.86, 6 Au 2.96
Au 0.3333 0.6667 0.0832  3 Ta 2.86, 3 Pd 2.86, 6 Au 2.96
Au 0.3333 0.6667 0.9168  3 Ta 2.86, 3 Pd 2.87, 6 Au 2.96
Au 0.6667 0.3333 0.5835  3 Ta 2.86, 3 Pd 2.87, 6 Au 2.96
Au 0.6667 0.3333 0.7498  3 Ta 2.86, 3 Pd 2.86, 6 Au 2.96


[6]
Material: TaPd2Au3
Method: DFT, PBE-GGA
State: optimized geometry

Output
energy of formation from the pure elements: -16.4 kJ per mole of atoms
crystal system: orthorhombic
V: 101 Å³/f.u.

Lattice parameters (Å, degrees): 4.7193 8.4803 5.0485 90.00 90.00 90.00
Closest atoms and distances in Å follow each position.
Element x y z (fractional)
Ta 0.2500 0.2500 0.0774  6 Pd 2.81-2.88, 6 Au 2.83-2.94
Ta 0.7500 0.7500 0.9226  6 Pd 2.81-2.88, 6 Au 2.83-2.94
Pd 0.2500 0.5817 0.0851  6 Au 2.80-3.00, 3 Ta 2.81-2.88, 3 Pd 2.85-2.87
Pd 0.2500 0.9183 0.0851  6 Au 2.80-3.00, 3 Ta 2.81-2.88, 3 Pd 2.85-2.87
Pd 0.7500 0.0817 0.9149  6 Au 2.80-3.00, 3 Ta 2.81-2.88, 3 Pd 2.85-2.87
Pd 0.7500 0.4183 0.9149  6 Au 2.80-3.00, 3 Ta 2.81-2.88, 3 Pd 2.85-2.87
Au 0.2500 0.0863 0.5897  6 Au 2.78-2.92, 2 Ta 2.83-2.94, 4 Pd 2.87-2.92
Au 0.2500 0.4137 0.5897  6 Au 2.78-2.92, 2 Ta 2.83-2.94, 4 Pd 2.87-2.92
Au 0.2500 0.7500 0.6075  4 Pd 2.80-3.00, 2 Ta 2.85, 6 Au 2.85-2.91
Au 0.7500 0.2500 0.3925  4 Pd 2.80-3.00, 2 Ta 2.85, 6 Au 2.85-2.91
Au 0.7500 0.5863 0.4103  6 Au 2.78-2.92, 2 Ta 2.83-2.94, 4 Pd 2.87-2.92
Au 0.7500 0.9137 0.4103  6 Au 2.78-2.92, 2 Ta 2.83-2.94, 4 Pd 2.87-2.92


[7]
Material: TaPd5Au
Method: DFT, PBE-GGA
State: optimized geometry

Output
energy of formation from the pure elements: -8.0 kJ per mole of atoms
crystal system: monoclinic
energy above the most stable polymorph in this dataset: 53 meV/atom
V: 119 Å³/f.u.

Lattice parameters (Å, degrees): 5.4658 5.4658 9.3985 96.32 96.32 59.08
Closest atoms and distances in Å follow each position.
Element x y z (fractional)
Ta 0.1851 0.8149 0.7500  3 Pd 2.46-2.50
Ta 0.8149 0.1851 0.2500  3 Pd 2.46-2.50
Pd 0.1084 0.1772 0.5134  3 Pd 2.69-2.75, 2 Ta 2.79-2.99, 1 Au 2.85
Pd 0.1759 0.3745 0.7885  1 Ta 2.50, 3 Pd 2.69-2.76, 1 Au 2.78
Pd 0.1772 0.1084 0.0134  3 Pd 2.69-2.75, 2 Ta 2.79-2.99, 1 Au 2.85
Pd 0.2717 0.7283 0.2500  1 Ta 2.46, 2 Au 2.65
Pd 0.3745 0.1759 0.2885  1 Ta 2.50, 3 Pd 2.69-2.76, 1 Au 2.78
Pd 0.6255 0.8241 0.7115  1 Ta 2.50, 3 Pd 2.69-2.76, 1 Au 2.78
Pd 0.7283 0.2717 0.7500  1 Ta 2.46, 2 Au 2.65
Pd 0.8228 0.8916 0.9866  3 Pd 2.69-2.75, 2 Ta 2.79-2.99, 1 Au 2.85
Pd 0.8241 0.6255 0.2115  1 Ta 2.50, 3 Pd 2.69-2.76, 1 Au 2.78
Pd 0.8916 0.8228 0.4866  3 Pd 2.69-2.75, 2 Ta 2.79-2.99, 1 Au 2.85
Au 0.5000 0.5000 0.0000  6 Pd 2.65-2.85, 2 Ta 2.90
Au 0.5000 0.5000 0.5000  6 Pd 2.65-2.85, 2 Ta 2.90


[8]
Material: TaPd3Au4
Method: DFT, PBE-GGA
State: optimized geometry

Output
energy of formation from the pure elements: -0.3 kJ per mole of atoms
crystal system: orthorhombic
energy above the most stable polymorph in this dataset: 156 meV/atom
V: 137 Å³/f.u.

Lattice parameters (Å, degrees): 2.9455 4.8213 19.2415 90.00 90.00 90.00
Closest atoms and distances in Å follow each position.
Element x y z (fractional)
Ta 0.0000 0.0000 0.0000  4 Pd 2.82, 4 Au 2.86, 2 Ta 2.95
Ta 0.5000 0.5000 0.5000  4 Pd 2.82, 4 Au 2.86, 2 Ta 2.95
Pd 0.0000 0.0000 0.2520  4 Au 2.81-2.82, 6 Pd 2.83-2.95
Pd 0.0000 0.0000 0.5000  4 Au 2.80, 4 Ta 2.82, 2 Pd 2.95
Pd 0.0000 0.0000 0.7480  4 Au 2.81-2.82, 6 Pd 2.83-2.95
Pd 0.5000 0.5000 0.0000  4 Au 2.80, 4 Ta 2.82, 2 Pd 2.95
Pd 0.5000 0.5000 0.2480  4 Au 2.81-2.82, 6 Pd 2.83-2.95
Pd 0.5000 0.5000 0.7520  4 Au 2.81-2.82, 6 Pd 2.83-2.95
Au 0.0000 0.5000 0.1239  4 Pd 2.80-2.81, 6 Au 2.83-2.95
Au 0.0000 0.5000 0.3727  2 Pd 2.82, 6 Au 2.83-2.95, 2 Ta 2.86
Au 0.0000 0.5000 0.6273  2 Pd 2.82, 6 Au 2.83-2.95, 2 Ta 2.86
Au 0.0000 0.5000 0.8761  4 Pd 2.80-2.81, 6 Au 2.83-2.95
Au 0.5000 0.0000 0.1273  2 Pd 2.82, 6 Au 2.83-2.95, 2 Ta 2.86
Au 0.5000 0.0000 0.3761  4 Pd 2.80-2.81, 6 Au 2.83-2.95
Au 0.5000 0.0000 0.6239  4 Pd 2.80-2.81, 6 Au 2.83-2.95
Au 0.5000 0.0000 0.8727  2 Pd 2.82, 6 Au 2.83-2.95, 2 Ta 2.86


[9]
Material: TaPd6Au3
Method: DFT, PBE-GGA
State: optimized geometry

Output
energy of formation from the pure elements: -5.8 kJ per mole of atoms
crystal system: trigonal
energy above the most stable polymorph in this dataset: 187 meV/atom
V: 173 Å³/f.u.

Lattice parameters (Å, degrees): 5.2864 5.2864 7.1509 90.00 90.00 120.00
Closest atoms and distances in Å follow each position.
Element x y z (fractional)
Ta 0.0000 0.0000 0.0000  6 Pd 2.50
Pd 0.0000 0.4047 0.8190  1 Ta 2.50, 5 Pd 2.78, 2 Au 2.79
Pd 0.0000 0.5953 0.1810  1 Ta 2.50, 5 Pd 2.78, 2 Au 2.79
Pd 0.4047 0.0000 0.8190  1 Ta 2.50, 5 Pd 2.78, 2 Au 2.79
Pd 0.4047 0.4047 0.1810  1 Ta 2.50, 5 Pd 2.78, 2 Au 2.79
Pd 0.5953 0.0000 0.1810  1 Ta 2.50, 5 Pd 2.78, 2 Au 2.79
Pd 0.5953 0.5953 0.8190  1 Ta 2.50, 5 Pd 2.78, 2 Au 2.79
Au 0.0000 0.0000 0.5000  6 Au 3.05, 6 Pd 3.13
Au 0.3333 0.6667 0.5000  6 Pd 2.79, 6 Au 3.05
Au 0.6667 0.3333 0.5000  6 Pd 2.79, 6 Au 3.05


[10]
Material: TaPd3Au2
Method: DFT, PBE-GGA
State: optimized geometry

Output
energy of formation from the pure elements: -27.2 kJ per mole of atoms
crystal system: orthorhombic
energy above the most stable polymorph in this dataset: 0 meV/atom
V: 98 Å³/f.u.

Lattice parameters (Å, degrees): 4.0641 12.2998 3.9372 90.00 90.00 90.00
Closest atoms and distances in Å follow each position.
Element x y z (fractional)
Ta 0.0000 0.0000 0.0000  8 Pd 2.77-2.83, 4 Au 2.85
Ta 0.5000 0.5000 0.0000  8 Pd 2.77-2.83, 4 Au 2.85
Pd 0.0000 0.1584 0.5000  2 Ta 2.77, 4 Pd 2.82-3.03, 6 Au 2.83-2.96
Pd 0.0000 0.5000 0.5000  4 Au 2.80, 4 Pd 2.82, 4 Ta 2.83
Pd 0.0000 0.8416 0.5000  2 Ta 2.77, 4 Pd 2.82-3.03, 6 Au 2.83-2.96
Pd 0.5000 0.0000 0.5000  4 Au 2.80, 4 Pd 2.82, 4 Ta 2.83
Pd 0.5000 0.3416 0.5000  2 Ta 2.77, 4 Pd 2.82-3.03, 6 Au 2.83-2.96
Pd 0.5000 0.6584 0.5000  2 Ta 2.77, 4 Pd 2.82-3.03, 6 Au 2.83-2.96
Au 0.0000 0.3377 0.0000  8 Pd 2.80-2.96, 2 Ta 2.85, 2 Au 2.96
Au 0.0000 0.6623 0.0000  8 Pd 2.80-2.96, 2 Ta 2.85, 2 Au 2.96
Au 0.5000 0.1623 0.0000  8 Pd 2.80-2.96, 2 Ta 2.85, 2 Au 2.96
Au 0.5000 0.8377 0.0000  8 Pd 2.80-2.96, 2 Ta 2.85, 2 Au 2.96